1.
Compound: HoNi3
Source: the Alexandria database
Functional: PBE
Structure: optimized geometry

```
8
Lattice="-2.420 -2.106 -2.201 -2.561 -1.180 3.945 -3.644 5.075 -0.848" Properties=species:S:1:pos:R:3 pbc="T T T"
Ni -2.491 -1.643 0.872
Ni -3.116 0.415 -0.409
Ni -1.088 0.328 0.882
Ni -5.118 3.567 2.215
Ni -1.210 -1.053 -1.100
Ni -5.509 1.374 1.305
Ho -3.067 0.711 2.692
Ho -3.138 3.183 0.405
```

Values from the calculation:
The total magnetic moment is 0.0 μB/cell. The formation enthalpy at 0 K comes out at -0.35 eV per atom. As for the space group: Pmma (51).


2.
Compound: Sm3Al8Ag
Source: the Alexandria database
Functional: PBE
Structure: optimized geometry

```
12
Lattice="5.595 0.000 0.000 2.798 4.846 0.000 2.798 1.615 9.070" Properties=species:S:1:pos:R:3 pbc="T T T"
Al 2.798 1.615 3.930
Al 9.803 5.660 6.209
Al 7.004 2.417 1.648
Al 6.982 5.660 6.209
Al 8.393 3.217 6.209
Al 5.595 4.857 1.648
Al 4.187 2.417 1.648
Al 8.393 4.846 8.468
Sm 5.595 3.230 7.932
Sm 5.595 3.230 4.415
Sm 8.393 4.846 0.166
Ag 8.393 4.846 3.669
```

Values from the calculation:
The total magnetic moment is 0.0 μB/cell. The formation enthalpy at 0 K comes out at -0.35 eV per atom. As for the space group: R3m (160).


3.
Compound: Tb6AgSe5
Source: the Alexandria database
Functional: PBE
Structure: optimized geometry

```
12
Lattice="7.016 -0.117 -1.325 -3.797 5.901 -1.325 0.133 0.238 7.121" Properties=species:S:1:pos:R:3 pbc="T T T"
Tb 0.911 1.637 4.659
Tb 0.684 5.530 3.355
Tb -0.987 2.527 1.117
Tb 2.668 0.493 1.117
Tb 4.339 3.496 3.355
Tb 2.441 4.386 -0.187
Se -0.178 3.887 -1.325
Se -1.916 5.010 2.236
Se 3.397 1.897 -1.325
Se 5.268 1.013 2.236
Se 1.676 3.012 2.236
Ag 0.000 0.000 0.000
```

Values from the calculation:
The uncorrected formation energy comes out at -1.528 eV per atom. The total magnetic moment is 0.0 μB/cell. As for the space group: C2/m (12).


4.
Compound: Ba3InHg2
Source: the Alexandria database
Functional: PBE
Structure: optimized geometry

```
6
Lattice="-3.981 -1.047 -1.070 1.886 -1.613 -5.437 0.453 -7.518 5.672" Properties=species:S:1:pos:R:3 pbc="T T T"
In 0.000 0.000 0.000
Ba -0.122 -6.850 -1.295
Ba -1.048 -1.330 -3.253
Ba -1.520 -3.327 0.460
Hg -2.584 -4.564 -2.827
Hg 0.941 -5.614 1.992
```

Values from the calculation:
The total magnetic moment is 0.0 μB/cell. The formation enthalpy at 0 K comes out at -0.49 eV per atom. As for the space group: Cmmm (65).


5.
Compound: PmDyRuO6
Source: the Alexandria database
Functional: PBE
Structure: optimized geometry

```
18
Lattice="-4.429 -2.666 -1.922 5.049 -1.510 -1.627 0.534 -6.288 7.493" Properties=species:S:1:pos:R:3 pbc="T T T"
O 0.274 -3.589 -1.269
O -2.490 -3.921 -1.351
O 0.213 -3.780 1.455
O -2.550 -4.123 1.364
O -0.891 -5.777 -0.143
O 3.704 -6.342 2.581
O 0.941 -6.685 2.490
O 0.880 -6.875 5.214
O -1.373 -1.928 0.242
O 2.527 -8.537 3.702
O 3.644 -6.543 5.295
O 2.045 -4.688 4.087
Dy 2.023 -3.467 0.148
Dy -0.869 -6.997 3.796
Pm 0.000 0.000 0.000
Pm 0.267 -3.144 3.747
Ru 2.290 -6.612 3.895
Ru -1.136 -3.853 0.050
```

Values from the calculation:
The uncorrected formation energy comes out at -2.245 eV per atom. The total magnetic moment is 4.0 μB/cell. As for the space group: P-31c (163).


6.
Compound: Bi3TePd8
Source: the Alexandria database
Functional: PBE
Structure: optimized geometry

```
12
Lattice="-3.261 7.072 -3.834 2.450 -2.905 7.670 6.642 0.723 6.256" Properties=species:S:1:pos:R:3 pbc="T T T"
Pd 3.710 1.618 6.244
Pd 3.299 5.045 2.626
Pd -0.527 2.453 -0.754
Pd 1.392 6.412 0.668
Pd 3.966 2.326 3.541
Pd 6.873 0.044 8.526
Pd 1.387 3.276 4.042
Pd -0.888 4.754 0.828
Bi 1.572 3.444 1.144
Bi 1.909 0.493 4.234
Bi 3.547 4.396 5.500
Te 3.091 7.690 2.156
```

Values from the calculation:
The uncorrected formation energy comes out at -0.199 eV per atom. The total magnetic moment is 0.0 μB/cell. As for the space group: Cm (8).